Computed, not measured: a relaxed CeHfZnGa crystal at the PBE level of DFT.

Cell and atoms, written as POSCAR:
```
CeHfZnGa
1.0
4.9119 0.0000 0.0000
2.4560 4.2538 0.0000
2.4560 1.4179 4.0106
Hf Ce Ga Zn
1 1 1 1
Cartesian
4.9119 2.8359 2.0053
0.0000 0.0000 0.0000
2.4560 1.4179 1.0026
7.3679 4.2538 3.0079
```

Space-group type: F-43m
Formation energy, eV per atom: -0.25

***

Computed, not measured: a relaxed Zr3CdH3 crystal at the PBE level of DFT.

Cell and atoms, written as POSCAR:
```
Zr3CdH3
1.0
-2.2965 5.3108 0.5746
-3.0754 -1.8259 4.5844
4.3677 1.5067 3.5301
Zr H Cd
6 6 2
Cartesian
-3.2601 3.0702 2.7232
1.4150 0.2969 2.9112
-2.1118 0.4148 2.4359
-0.0563 3.0321 1.1699
-0.1227 -0.6161 5.2034
2.1275 3.7854 2.9349
0.4615 4.7365 2.1961
-0.4458 -0.5363 3.1747
-3.4548 1.2860 3.7256
1.7381 0.2171 4.9398
1.6097 2.0810 1.9087
-1.9171 2.1989 1.4334
0.0000 0.0000 0.0000
-0.5021 2.4958 4.3446
```

Space-group type: Pm-3n
Polymorph energy (0 for the lowest one), eV/atom: 0.000

***

Computed, not measured: a relaxed TePb2O4 crystal at the PBE level of DFT.

Cell and atoms, written as POSCAR:
```
TePb2O4
1.0
8.5183 0.0000 0.3360
0.0000 5.4501 0.0000
-2.9814 0.0000 5.6913
O Pb Te
8 4 2
Cartesian
3.6100 5.4231 1.9382
3.6100 2.7521 1.9382
-1.7056 1.3625 3.6885
-0.7279 4.0876 5.6170
7.2425 4.0876 2.3388
6.2648 1.3625 0.4103
1.9269 2.6980 4.0891
1.9269 0.0270 4.0891
0.0828 1.3625 5.3090
6.1931 4.0876 4.2608
-0.6561 1.3625 1.7665
5.4541 4.0876 0.7184
3.2924 1.3625 4.1063
2.2445 4.0876 1.9210
```

Space-group type: P2_1/m
Polymorph energy (0 for the lowest one), eV/atom: 0.000
Uncorrected formation energy, eV per atom: -0.99